(1)
Crystalline Pu12Ge6Os at its relaxed geometry. Source: Alexandria via LeMat-Bulk, functional PBE-GGA.

For the energy, the calculation gives -634.78 eV for the cell shown. The calculation puts the formation energy at -0.036 eV/atom.

The structure belongs to space group R-3 (No. 148, hexagonal axes); the cell edges are 9.9018, 9.9018 and 14.6172 Å and the angles 90.00°, 90.00° and 120.00°. The asymmetric unit holds Pu at (0.0236, 0.7843, 0.3964), Pu at (0.0428, 0.8116, 0.9644), Ge at (0.0179, 0.8490, 0.1902) and Os at (0.0000, 0.0000, 0.5000).

(2)
Crystalline Pu8Ge3Os at its relaxed geometry. Source: Alexandria via LeMat-Bulk, functional PBE-GGA.

For the energy, the calculation gives -283.44 eV for the cell shown. The calculation puts the formation energy at -0.165 eV/atom.

The structure belongs to space group Cm (No. 8); the cell edges are 10.3835, 10.0697 and 5.3990 Å and the angles 90.00°, 119.89° and 90.00°. The asymmetric unit holds Pu at (0.0000, 0.0000, 0.0000), Pu at (0.0129, 0.2176, 0.2689), Pu at (0.1855, 0.2669, 0.9580), Pu at (0.1961, 0.5000, 0.7282), Pu at (0.2273, 0.0000, 0.7388), Pu at (0.3815, 0.0000, 0.4080), Ge at (0.0578, 0.5000, 0.0997), Ge at (0.3483, 0.2675, 0.6156) and Os at (0.3512, 0.5000, 0.3812).

(3)
Crystalline Pu5Ge2Os2 at its relaxed geometry. Source: Alexandria via LeMat-Bulk, functional PBE-GGA.

For the energy, the calculation gives -418.54 eV for the cell shown. The calculation puts the formation energy at -0.142 eV/atom.

The structure belongs to space group C2 (No. 5); the cell edges are 13.0862, 8.7060 and 8.3222 Å and the angles 90.00°, 129.10° and 90.00°. The asymmetric unit holds Pu at (0.0006, 0.0000, 0.2459), Pu at (0.0006, 0.2732, 0.3402), Pu at (0.0007, 0.5683, 0.8195), Pu at (0.2459, 0.2671, 0.4399), Pu at (0.2474, 0.2654, 0.0545), Ge at (0.0000, 0.2611, 0.0000), Ge at (0.0000, 0.7497, 0.5000), Ge at (0.2240, 0.0760, 0.7242), Os at (0.1417, 0.8416, 0.1407) and Os at (0.1485, 0.5050, 0.6480).

(4)
Crystalline Pu6Ge3Os at its relaxed geometry. Source: Alexandria via LeMat-Bulk, functional PBE-GGA.

For the energy, the calculation gives -673.70 eV for the cell shown. The calculation puts the formation energy at -0.121 eV/atom.

The structure belongs to space group R-3m (No. 166, hexagonal axes); the cell edges are 9.7414, 9.7414 and 15.7823 Å and the angles 90.00°, 90.00° and 120.00°. The asymmetric unit holds Pu at (0.0900, 0.5450, 0.0640), Pu at (0.1084, 0.2168, 0.1565), Ge at (0.0057, 0.5029, 0.6259), Os at (0.0000, 0.0000, 0.0000) and Os at (0.0000, 0.0000, 0.5000).

(5)
Crystalline Pu2ReGe6Os at its relaxed geometry. Source: Alexandria via LeMat-Bulk, functional PBE-GGA.

For the energy, the calculation gives -483.81 eV for the cell shown. The calculation puts the formation energy at -0.059 eV/atom.

The structure belongs to space group R-3m (No. 166, hexagonal axes); the cell edges are 6.0324, 6.0324 and 38.4397 Å and the angles 90.00°, 90.00° and 120.00°. The asymmetric unit holds Pu at (0.0000, 0.0000, 0.1277), Pu at (0.0000, 0.0000, 0.3170), Re at (0.0000, 0.0000, 0.0000), Re at (0.0000, 0.0000, 0.5000), Ge at (0.0369, 0.5185, 0.7183), Ge at (0.0567, 0.5284, 0.8719) and Os at (0.0000, 0.0000, 0.4236).

(6)
Crystalline PuGe4OsRh2 at its relaxed geometry. Source: Alexandria via LeMat-Bulk, functional PBE-GGA.

For the energy, the calculation gives -183.94 eV for the cell shown. The calculation puts the formation energy at -0.322 eV/atom.

The structure belongs to space group R-3m (No. 166, hexagonal axes); the cell edges are 4.2315, 4.2315 and 26.1286 Å and the angles 90.00°, 90.00° and 120.00°. The asymmetric unit holds Pu at (0.0000, 0.0000, 0.0000), Ge at (0.0000, 0.0000, 0.1297), Ge at (0.0000, 0.0000, 0.3958), Os at (0.0000, 0.0000, 0.5000) and Rh at (0.0000, 0.0000, 0.2331).

(7)
Crystalline PuGe2OsRu at its relaxed geometry. Source: Alexandria via LeMat-Bulk, functional PBE-GGA.

For the energy, the calculation gives -91.51 eV for the cell shown. The calculation puts the formation energy at -0.336 eV/atom.

The structure belongs to space group I-4m2 (No. 119); the cell edges are 4.2344, 4.2344 and 10.1250 Å and the angles 90.00°, 90.00° and 90.00°. The asymmetric unit holds Pu at (0.0000, 0.0000, 0.0000), Ge at (0.0000, 0.0000, 0.3729), Os at (0.0000, 0.5000, 0.2500) and Ru at (0.0000, 0.5000, 0.7500).

(8)
Crystalline PuTcGe2Os at its relaxed geometry. Source: Alexandria via LeMat-Bulk, functional PBE-GGA.

For the energy, the calculation gives -92.62 eV for the cell shown. The calculation puts the formation energy at -0.229 eV/atom.

The structure belongs to space group I-4m2 (No. 119); the cell edges are 4.1904, 4.1904 and 10.3873 Å and the angles 90.00°, 90.00° and 90.00°. The asymmetric unit holds Pu at (0.0000, 0.0000, 0.0000), Tc at (0.0000, 0.5000, 0.2500), Ge at (0.0000, 0.0000, 0.3775) and Os at (0.0000, 0.5000, 0.7500).